Arrangement A

This record from Alexandria via LeMat-Bulk describes a geometry-optimized LiIn3Rh structure. The functional is GGA-PBE.

Lattice parameters (Å, degrees): 4.601 4.590 9.365 90.00 104.14 90.00
Space group P2_1/m (No. 11)
One atom of each set of equivalent atoms:
Li: 0.164 0.250 0.327 [2 per cell]
In: 0.063 0.750 0.126 [2 per cell]
In: 0.248 0.750 0.497 [2 per cell]
In: 0.429 0.750 0.861 [2 per cell]
Rh: 0.342 0.250 0.681 [2 per cell]

Summary:
* N(E_F): 0.30 states/eV/atom
* crystal system: monoclinic

***

Arrangement B

This record from Alexandria via LeMat-Bulk describes a geometry-optimized LiIn3Rh structure. The functional is GGA-PBE.

Lattice parameters (Å, degrees): 5.140 5.140 5.140 90.00 90.00 90.00
Space group Pm-3m (No. 221)
One atom of each set of equivalent atoms:
Li: 0.000 0.000 0.000 [1 per cell]
In: 0.000 0.500 0.500 [3 per cell]
Rh: 0.500 0.500 0.500 [1 per cell]

Summary:
* N(E_F): 0.48 states/eV/atom
* crystal system: cubic

***

What are the relative energies? In meV per atom: arrangement A 0; arrangement B 155.